Tb2Pm4Tm3 after structural relaxation, computed with PBE.

Calculated values
- Theoretical density: 8.016 g/cm3
- DOS(E_F): 1.293 states/eV/atom
- Formation energy: 0.018 eV/atom
- Symmetry: C2/m, No. 12

abc: 6.181 6.181 10.720
angles: 106.55 106.55 48.40
Fractional coordinates of all 9 atoms:
1 Tb 0.168 0.168 0.224
2 Tb 0.832 0.832 0.776
3 Pm 0.167 0.167 0.888
4 Pm 0.499 0.499 0.666
5 Pm 0.501 0.501 0.334
6 Pm 0.833 0.833 0.112
7 Tm 0.166 0.166 0.554
8 Tm 0.500 0.500 0.000
9 Tm 0.834 0.834 0.446


Tb5Pm4Tm2 after structural relaxation, computed with PBE.

Calculated values
- Theoretical density: 7.853 g/cm3
- DOS(E_F): 1.479 states/eV/atom
- Formation energy: 0.115 eV/atom
- Symmetry: C2/m, No. 12

abc: 6.660 6.660 9.164
angles: 102.99 102.99 67.71
Fractional coordinates of all 11 atoms:
1 Tb 0.000 0.000 0.000
2 Tb 0.208 0.649 0.723
3 Tb 0.351 0.792 0.277
4 Tb 0.649 0.208 0.723
5 Tb 0.792 0.351 0.277
6 Pm 0.310 0.310 0.001
7 Pm 0.330 0.330 0.381
8 Pm 0.670 0.670 0.619
9 Pm 0.690 0.690 0.999
10 Tm 0.141 0.141 0.622
11 Tm 0.859 0.859 0.378


Tb2PmTm after structural relaxation, computed with PBE.

Calculated values
- Theoretical density: 8.189 g/cm3
- DOS(E_F): 1.293 states/eV/atom
- Formation energy: 0.021 eV/atom
- Symmetry: P4/mmm, No. 123

abc: 3.562 3.562 10.099
angles: 90.00 90.00 90.00
Fractional coordinates of all 4 atoms:
1 Tb 0.000 0.000 0.245
2 Tb 0.000 0.000 0.755
3 Pm 0.500 0.500 0.500
4 Tm 0.500 0.500 0.000